[1]
Compound: TmHfPbC
Source: OQMD via LeMat-Bulk
Functional: PBE-GGA
Structure: optimized geometry

```
TmHfPbC
1.0
3.4573 0.0000 0.0000
-1.7286 2.9941 0.0000
0.0000 0.0000 15.2870
Tm Hf Pb C
2 2 2 2
Cartesian
0.0000 0.0000 2.6525
0.0000 0.0000 12.6345
1.7286 0.9980 5.1627
1.7286 0.9980 10.1243
0.0000 0.0000 7.6435
1.7286 0.9980 0.0000
0.0000 1.9960 4.0584
0.0000 1.9960 11.2285
```

Properties
Crystal system ... hexagonal
Symmetry ... P-6m2
ΔE to the lowest computed polymorph ... 8.0 meV per atom

=====

[2]
Compound: TmHf3Pb2C2
Source: OQMD via LeMat-Bulk
Functional: PBE-GGA
Structure: optimized geometry

```
TmHf3Pb2C2
1.0
3.4121 0.0000 0.0000
-1.7060 2.9549 0.0000
0.0000 0.0000 15.0085
Tm Hf Pb C
1 3 2 2
Cartesian
0.0000 0.0000 0.0000
0.0000 0.0000 9.8633
1.7060 0.9850 2.5247
1.7060 0.9850 7.4934
0.0000 0.0000 5.0104
1.7060 0.9850 12.3555
0.0000 1.9700 1.3972
0.0000 1.9700 8.6785
```

Properties
Crystal system ... trigonal
Calculated total energy ... -8.141 eV/atom
Symmetry ... P3m1

=====

[3]
Compound: Hf4Pb3W2C3
Source: OQMD via LeMat-Bulk
Functional: PBE-GGA
Structure: optimized geometry

```
Hf4Pb3W2C3
1.0
5.0444 -2.9170 0.0000
5.0444 2.9170 0.0000
-3.3296 0.0000 14.1549
Hf Pb W C
8 6 4 6
Cartesian
0.8396 0.4735 1.1761
0.8431 0.4907 5.9021
-0.8252 -0.4735 8.2535
-0.8217 -0.4907 12.9796
7.5808 0.4907 1.1754
7.5844 0.4735 5.9014
5.9160 -0.4907 8.2528
5.9196 -0.4735 12.9789
4.2120 2.3458 3.5387
0.9271 0.4450 10.6190
2.5919 -0.4450 3.5416
4.1673 0.4450 10.6134
5.8321 -0.4450 3.5359
2.5472 -2.3458 10.6162
4.1824 0.5008 0.9672
4.2416 0.5008 6.1102
2.5176 -0.5008 8.0447
2.5768 -0.5008 13.1877
2.5222 1.4585 0.0000
2.5397 1.4507 7.0775
5.8842 1.4507 0.0000
0.8574 -1.4585 7.0775
4.2045 -1.4507 0.0000
4.2194 -1.4507 7.0775
```

Properties
Crystal system ... monoclinic
Calculated total energy ... -8.982 eV/atom
Symmetry ... C2/c